[1]
# CdPd12Au6 (GGA-PBE, relaxed)
data_CdPd12Au6
_cell_length_a 11.9320
_cell_length_b 11.9320
_cell_length_c 8.4695
_cell_angle_alpha 90.00
_cell_angle_beta 90.00
_cell_angle_gamma 120.00
_space_group_name_H-M_alt 'R -3 m'
_space_group_IT_number 166
_space_group_name_Hall '-R 3 2"'
loop_
_atom_site_label
_atom_site_type_symbol
_atom_site_fract_x
_atom_site_fract_y
_atom_site_fract_z
Cd1 Cd 0.0000 0.0000 0.0000
Pd1 Pd 0.0000 0.3885 0.5000
Pd2 Pd 0.0793 0.1586 0.2554
Au1 Au 0.0738 0.5369 0.2273
# - calculated volume (Å³/atom) = 18.321
# - VASP energy (eV for the cell shown) = -239.651

[2]
# Cd5Pd5Au2 (GGA-PBE, relaxed)
data_Cd5Pd5Au2
_cell_length_a 17.913
_cell_length_b 3.007
_cell_length_c 9.436
_cell_angle_alpha 90.00
_cell_angle_beta 113.92
_cell_angle_gamma 90.00
_space_group_name_H-M_alt 'C 1 2/m 1'
_space_group_IT_number 12
loop_
_space_group_symop_operation_xyz
'x,y,z'
'-x,-y,-z'
'-x,y,-z'
'x,-y,z'
'x+1/2,y+1/2,z'
'-x+1/2,-y+1/2,-z'
'-x+1/2,y+1/2,-z'
'x+1/2,-y+1/2,z'
loop_
_atom_site_label
_atom_site_type_symbol
_atom_site_fract_x
_atom_site_fract_y
_atom_site_fract_z
Cd1 Cd 0.000 0.000 0.000
Cd2 Cd 0.110 0.000 0.420
Cd3 Cd 0.214 0.500 0.821
Pd1 Pd 0.000 0.500 0.500
Pd2 Pd 0.140 0.500 0.044
Pd3 Pd 0.226 0.500 0.362
Au1 Au 0.065 0.000 0.768
# - calculated volume (Å³/atom) = 19.361
# - VASP energy (eV for the cell shown) = -79.099

[3]
# Cd2Pd4Au (GGA-PBE, relaxed)
data_Cd2Pd4Au
_cell_length_a 6.910
_cell_length_b 5.624
_cell_length_c 7.032
_cell_angle_alpha 90.00
_cell_angle_beta 114.58
_cell_angle_gamma 90.00
_space_group_name_H-M_alt 'P 1 21/m 1'
_space_group_IT_number 11
loop_
_space_group_symop_operation_xyz
'x,y,z'
'-x,-y,-z'
'-x,y+1/2,-z'
'x,-y+1/2,z'
loop_
_atom_site_label
_atom_site_type_symbol
_atom_site_fract_x
_atom_site_fract_y
_atom_site_fract_z
Cd1 Cd 0.072 0.250 0.346
Cd2 Cd 0.280 0.750 0.074
Pd1 Pd 0.060 0.750 0.333
Pd2 Pd 0.321 0.503 0.733
Pd3 Pd 0.498 0.750 0.504
Au1 Au 0.274 0.250 0.059
# - calculated volume (Å³/atom) = 17.750
# - VASP energy (eV for the cell shown) = -54.320

[4]
# Cd2Pd5Au5 (GGA-PBE, relaxed)
data_Cd2Pd5Au5
_cell_length_a 12.452
_cell_length_b 4.049
_cell_length_c 9.188
_cell_angle_alpha 90.00
_cell_angle_beta 117.52
_cell_angle_gamma 90.00
_space_group_name_H-M_alt 'C 1 2/m 1'
_space_group_IT_number 12
loop_
_space_group_symop_operation_xyz
'x,y,z'
'-x,-y,-z'
'-x,y,-z'
'x,-y,z'
'x+1/2,y+1/2,z'
'-x+1/2,-y+1/2,-z'
'-x+1/2,y+1/2,-z'
'x+1/2,-y+1/2,z'
loop_
_atom_site_label
_atom_site_type_symbol
_atom_site_fract_x
_atom_site_fract_y
_atom_site_fract_z
Cd1 Cd 0.082 0.000 0.253
Pd1 Pd 0.000 0.500 0.000
Pd2 Pd 0.085 0.500 0.749
Pd3 Pd 0.166 0.500 0.499
Au1 Au 0.000 0.000 0.500
Au2 Au 0.166 0.000 0.999
Au3 Au 0.249 0.000 0.746
# - calculated volume (Å³/atom) = 17.119
# - VASP energy (eV for the cell shown) = -93.384

[5]
# CdPd7Au12 (GGA-PBE, relaxed)
data_CdPd7Au12
_cell_length_a 9.8591
_cell_length_b 9.8591
_cell_length_c 13.0682
_cell_angle_alpha 90.00
_cell_angle_beta 90.00
_cell_angle_gamma 120.00
_space_group_name_H-M_alt 'R -3'
_space_group_IT_number 148
_space_group_name_Hall '-R 3'
loop_
_atom_site_label
_atom_site_type_symbol
_atom_site_fract_x
_atom_site_fract_y
_atom_site_fract_z
Cd1 Cd 0.0000 0.0000 0.0000
Pd1 Pd 0.0000 0.0000 0.5000
Pd2 Pd 0.0501 0.8652 0.8239
Au1 Au 0.0029 0.5471 0.6942
Au2 Au 0.0377 0.4679 0.0970
# - calculated volume (Å³/atom) = 18.335
# - VASP energy (eV for the cell shown) = -227.116

[6]
# Cd5PdAu8 (GGA-PBE, relaxed)
data_Cd5PdAu8
_cell_length_a 8.266
_cell_length_b 8.266
_cell_length_c 8.245
_cell_angle_alpha 90.00
_cell_angle_beta 90.00
_cell_angle_gamma 90.00
_space_group_name_H-M_alt 'I -4'
_space_group_IT_number 82
loop_
_space_group_symop_operation_xyz
'x,y,z'
'y,-x,-z'
'-x,-y,z'
'-y,x,-z'
'x+1/2,y+1/2,z+1/2'
'y+1/2,-x+1/2,-z+1/2'
'-x+1/2,-y+1/2,z+1/2'
'-y+1/2,x+1/2,-z+1/2'
loop_
_atom_site_label
_atom_site_type_symbol
_atom_site_fract_x
_atom_site_fract_y
_atom_site_fract_z
Cd1 Cd 0.000 0.000 0.000
Cd2 Cd 0.120 0.759 0.626
Pd1 Pd 0.000 0.500 0.250
Au1 Au 0.082 0.661 0.962
Au2 Au 0.088 0.824 0.284
# - calculated volume (Å³/atom) = 20.118
# - VASP energy (eV for the cell shown) = -74.186

[7]
# Cd8PdAu3 (GGA-PBE, relaxed)
data_Cd8PdAu3
_cell_length_a 9.011
_cell_length_b 9.514
_cell_length_c 13.169
_cell_angle_alpha 90.00
_cell_angle_beta 90.00
_cell_angle_gamma 90.00
_space_group_name_H-M_alt 'F m m m'
_space_group_IT_number 69
_space_group_name_Hall '-F 2 2'
loop_
_atom_site_label
_atom_site_type_symbol
_atom_site_fract_x
_atom_site_fract_y
_atom_site_fract_z
Cd1 Cd 0.000 0.244 0.117
Cd2 Cd 0.245 0.000 0.128
Pd1 Pd 0.000 0.000 0.000
Au1 Au 0.000 0.000 0.500
Au2 Au 0.250 0.250 0.250
# - calculated volume (Å³/atom) = 23.521
# - VASP energy (eV for the cell shown) = -97.487

[8]
# Cd2Pd3Au (GGA-PBE, relaxed)
data_Cd2Pd3Au
_cell_length_a 4.297
_cell_length_b 12.866
_cell_length_c 3.730
_cell_angle_alpha 90.00
_cell_angle_beta 90.00
_cell_angle_gamma 90.00
_space_group_name_H-M_alt 'C m m m'
_space_group_IT_number 65
_space_group_name_Hall '-C 2 2'
loop_
_atom_site_label
_atom_site_type_symbol
_atom_site_fract_x
_atom_site_fract_y
_atom_site_fract_z
Cd1 Cd 0.000 0.163 0.000
Pd1 Pd 0.000 0.000 0.500
Pd2 Pd 0.000 0.332 0.500
Au1 Au 0.000 0.500 0.000
# - calculated volume (Å³/atom) = 17.183
# - VASP energy (eV for the cell shown) = -45.444

Look up the VASP energy of the sixth one.
-74.186 eV for the cell shown

Which value of VASP energy does entry 8 give?
-45.444 eV for the cell shown

Among the records above, which one has the lowest VASP energy?
CdPd12Au6

Copy entry 7 word for word.
# Cd8PdAu3 (GGA-PBE, relaxed)
data_Cd8PdAu3
_cell_length_a 9.011
_cell_length_b 9.514
_cell_length_c 13.169
_cell_angle_alpha 90.00
_cell_angle_beta 90.00
_cell_angle_gamma 90.00
_space_group_name_H-M_alt 'F m m m'
_space_group_IT_number 69
_space_group_name_Hall '-F 2 2'
loop_
_atom_site_label
_atom_site_type_symbol
_atom_site_fract_x
_atom_site_fract_y
_atom_site_fract_z
Cd1 Cd 0.000 0.244 0.117
Cd2 Cd 0.245 0.000 0.128
Pd1 Pd 0.000 0.000 0.000
Au1 Au 0.000 0.000 0.500
Au2 Au 0.250 0.250 0.250
# - calculated volume (Å³/atom) = 23.521
# - VASP energy (eV for the cell shown) = -97.487